The following is a PBE-GGA calculation of a relaxed structure of TaNiOs, from Alexandria via LeMat-Bulk.

Calculated values
E_form: -0.152 eV per atom
Total energy: -9.7730 eV/atom
Relative energy among the computed polymorphs: 18.4 kJ/mol of atoms
Volume: 87.9 Å³ per cell

a b c (Å): 4.6338 4.6842 5.1181
angles (deg): 101.05 105.49 117.87
Last column: nearest neighbours and their distance in Å.
Fractional coordinates of all 6 atoms:
Ta1 0.8737 0.2694 0.2459  4 Ni 2.54-2.81, 5 Os 2.60-2.83
Ta2 0.6342 0.5209 0.7654  5 Ni 2.55-2.84, 5 Os 2.60-2.81
Ni1 0.0000 0.2031 0.7918  5 Ta 2.54-2.81, 5 Os 2.65-2.81, 1 Ni 2.83
Ni2 0.2160 0.9547 0.2186  4 Ta 2.55-2.84, 5 Os 2.63-2.76, 1 Ni 2.83
Os1 0.2870 0.8387 0.7078  5 Ta 2.60-2.81, 5 Ni 2.63-2.81
Os2 0.5825 0.6463 0.2874  5 Ta 2.60-2.83, 5 Ni 2.67-2.76

The following is a PBE-GGA calculation of a relaxed structure of ErUFe, from Alexandria via LeMat-Bulk.

Calculated values
E_form: 0.065 eV per atom
Total energy: -8.0401 eV/atom
Relative energy among the computed polymorphs: 0.0 kJ/mol of atoms
Volume: 60.0 Å³ per cell

a b c (Å): 3.3205 3.3205 5.9253
angles (deg): 106.27 106.27 90.00
Last column: nearest neighbours and their distance in Å.
Fractional coordinates of all 3 atoms:
U1 0.7076 0.7076 0.4152  4 Fe 2.52
Fe1 0.2924 0.2924 0.5849  4 U 2.52
Er1 0.0000 0.0000 0.9999  5 U 3.18-3.26, 5 Fe 3.18-3.26, 4 Er 3.32

The following is a PBE-GGA calculation of a relaxed structure of Pr3AgAu3, from Alexandria via LeMat-Bulk.

Calculated values
E_form: -0.645 eV per atom
Total energy: -4.5055 eV/atom
Volume: 183.9 Å³ per cell

a b c (Å): 4.5823 3.9045 10.7076
angles (deg): 100.51 102.36 90.00
Last column: nearest neighbours and their distance in Å.
Fractional coordinates of all 7 atoms:
Pr1 0.3122 0.8122 0.6243  5 Au 3.10-3.28, 2 Ag 3.15
Pr2 0.6839 0.1839 0.3678  7 Au 3.08-3.36
Pr3 0.0065 0.0065 0.0129  6 Au 3.24-3.58, 4 Ag 3.37
Ag1 0.4326 0.4326 0.8652  3 Au 2.72-2.89
Au1 0.1527 0.6527 0.3055  2 Au 2.92, 4 Pr 3.08
Au2 0.8473 0.3473 0.6946  2 Ag 2.89, 4 Pr 3.10
Au3 0.5649 0.5649 0.1298  1 Ag 2.72, 2 Au 2.92

The following is a PBE-GGA calculation of a relaxed structure of Li2SmMgAg4, from Alexandria via LeMat-Bulk.

Calculated values
E_form: -0.193 eV per atom
Total energy: -2.8858 eV/atom
Volume: 158.3 Å³ per cell

a b c (Å): 4.7406 4.7406 8.5821
angles (deg): 73.97 73.97 60.00
Last column: nearest neighbours and their distance in Å.
Fractional coordinates of all 8 atoms:
Li1 0.7561 0.7561 0.7317  7 Ag 2.82-2.90
Li2 0.2439 0.2439 0.2683  7 Ag 2.82-2.90
Sm1 0.0000 0.0000 0.0000  8 Ag 3.06-3.13
Mg1 0.5000 0.5000 0.5000  8 Ag 2.70-2.89
Ag1 0.3895 0.3895 0.8314  1 Mg 2.70, 3 Li 2.85
Ag2 0.8716 0.8716 0.3851  4 Li 2.82-2.90, 3 Mg 2.89, 1 Sm 3.13
Ag3 0.1284 0.1284 0.6149  4 Li 2.82-2.90, 3 Mg 2.89, 1 Sm 3.13
Ag4 0.6105 0.6105 0.1686  1 Mg 2.70, 3 Li 2.85